{
  "formula": "CsSb12Au7",
  "functional": "PBE",
  "state": "optimized geometry",
  "raw_formation_energy_ev_per_atom": -0.062,
  "magnetic_moment_mub_per_fu": 0.0,
  "cell": [[7.220, 0.000, 0.000], [-2.299, 7.732, 0.000], [-1.300, -1.266, 10.475]],
  "species": ["Cs", "Sb", "Sb", "Sb", "Sb", "Sb", "Sb", "Sb", "Sb", "Sb", "Sb", "Sb", "Sb", "Au", "Au", "Au", "Au", "Au", "Au", "Au"],
  "frac_coords": [[0.000, 0.000, 0.000], [0.012, 0.320, 0.357], [0.172, 0.816, 0.324], [0.329, 0.651, 0.990], [0.365, 0.340, 0.583], [0.417, 0.429, 0.189], [0.462, 0.939, 0.736], [0.538, 0.061, 0.264], [0.583, 0.571, 0.811], [0.635, 0.660, 0.417], [0.671, 0.349, 0.010], [0.828, 0.184, 0.676], [0.988, 0.680, 0.643], [0.025, 0.521, 0.151], [0.135, 0.049, 0.670], [0.300, 0.658, 0.523], [0.500, 0.000, 0.000], [0.700, 0.342, 0.477], [0.865, 0.951, 0.330], [0.975, 0.479, 0.849]]
}

{
  "formula": "Co3P",
  "functional": "PBE",
  "state": "optimized geometry",
  "magnetic_moment_mub_per_fu": 3.7,
  "e_form_ev_per_atom": -0.07,
  "cell": [[5.547, 0.000, 0.000], [0.000, 5.547, 0.000], [0.000, 0.000, 5.547]],
  "species": ["Co", "Co", "Co", "Co", "Co", "Co", "Co", "Co", "Co", "Co", "Co", "Co", "P", "P", "P", "P"],
  "frac_coords": [[0.000, 0.000, 0.000], [0.000, 0.500, 0.500], [0.250, 0.250, 0.250], [0.250, 0.250, 0.750], [0.250, 0.750, 0.250], [0.250, 0.750, 0.750], [0.500, 0.000, 0.500], [0.500, 0.500, 0.000], [0.750, 0.250, 0.250], [0.750, 0.250, 0.750], [0.750, 0.750, 0.250], [0.750, 0.750, 0.750], [0.000, 0.000, 0.500], [0.000, 0.500, 0.000], [0.500, 0.000, 0.000], [0.500, 0.500, 0.500]]
}

What is the formula in the second record?
Co3P

Copy entry 2 word for word.
{
  "formula": "Co3P",
  "functional": "PBE",
  "state": "optimized geometry",
  "magnetic_moment_mub_per_fu": 3.7,
  "e_form_ev_per_atom": -0.07,
  "cell": [[5.547, 0.000, 0.000], [0.000, 5.547, 0.000], [0.000, 0.000, 5.547]],
  "species": ["Co", "Co", "Co", "Co", "Co", "Co", "Co", "Co", "Co", "Co", "Co", "Co", "P", "P", "P", "P"],
  "frac_coords": [[0.000, 0.000, 0.000], [0.000, 0.500, 0.500], [0.250, 0.250, 0.250], [0.250, 0.250, 0.750], [0.250, 0.750, 0.250], [0.250, 0.750, 0.750], [0.500, 0.000, 0.500], [0.500, 0.500, 0.000], [0.750, 0.250, 0.250], [0.750, 0.250, 0.750], [0.750, 0.750, 0.250], [0.750, 0.750, 0.750], [0.000, 0.000, 0.500], [0.000, 0.500, 0.000], [0.500, 0.000, 0.000], [0.500, 0.500, 0.500]]
}